Compound: CsVF3
Source: Alexandria
Functional: GGA+U
Structure: relaxed

Cell and atoms, written as POSCAR:
```
CsVF3
1.0
-1.725 4.257 6.124
1.725 -4.257 6.124
1.725 4.257 -6.124
Cs V F
2 2 6
direct
0.243 0.243 0.000 Cs
0.757 0.757 0.000 Cs
0.248 0.000 0.248 V
0.752 0.000 0.752 V
0.000 0.000 0.000 F
0.131 0.391 0.740 F
0.349 0.609 0.740 F
0.500 0.000 0.500 F
0.651 0.391 0.260 F
0.869 0.609 0.260 F
```

Properties
SG   Immm, No. 71
Total energy   -5.428 eV per atom
ρ   4.4 g cm⁻³
Crystal system   orthorhombic